This record from the Alexandria database describes a geometry-optimized RePRhCl2 structure. The functional is PBEsol.

Cell lengths 4.569, 4.569, 4.720 Å; angles 90.00, 90.00, 90.00 degrees
Fractional coordinates of all 5 atoms:
Re1 0.000 0.000 0.000
P1 0.500 0.500 0.000
Rh1 0.500 0.500 0.500
Cl1 0.000 0.500 0.500
Cl2 0.500 0.000 0.500

Calculated values
Excess energy over the best structure of this formula in the dataset (meV/atom): 149.0
Density of states at the Fermi level (states/eV/atom): 0.60
Space-group type: P4/mmm
Energy relative to the elements, uncorrected (eV/atom): 1.178